# 1
The following is a DFT calculation (GGA-PBE) of a geometry-optimized NaGdNO structure.

Structure (POSCAR):
```
NaGdNO
1.0
-3.6269 3.2166 0.9351
-1.7875 -3.0241 3.4693
2.6625 2.0770 3.1823
Gd N O Na
2 2 2 2
Direct
0.7500 0.2500 0.5000 Gd
0.2500 0.7500 0.5000 Gd
0.7500 0.7500 0.4981 N
0.2500 0.2500 0.5019 N
0.7500 0.2500 0.0000 O
0.2500 0.7500 0.0000 O
0.7500 0.7500 0.9981 Na
0.2500 0.2500 0.0019 Na
```

Calculated values
Final energy ... -49.23 eV for the cell shown

---

# 2
The following is a DFT calculation (GGA-PBE) of a geometry-optimized HfScOs2 structure.

Structure (POSCAR):
```
HfScOs2
1.0
3.2279 0.0000 0.0000
0.0000 3.2279 0.0000
0.0000 0.0000 6.4534
Hf Os Sc
1 2 1
Direct
0.0000 0.0000 0.5000 Hf
0.5000 0.5000 0.7468 Os
0.5000 0.5000 0.2532 Os
0.0000 0.0000 0.0000 Sc
```

Calculated values
Final energy ... -40.96 eV for the cell shown
ΔE_f ... -0.56 eV/atom

---

| no. | theoretical density (g cm⁻³) |
| --- | --- |
| 1 | 6.2 |
| 2 | 14.9 |